Entry from the Alexandria database: Tb3Sm2S6 after structural relaxation (PBE-GGA). Values from VASP.

```
&SYSTEM
  ibrav = 0, nat = 11, ntyp = 3
/
ATOMIC_SPECIES
Tb 158.93 Tb.upf
Sm 150.36 Sm.upf
S 32.06 S.upf
ATOMIC_POSITIONS crystal
Tb 0.000 0.000 0.000
Tb 0.337 0.663 0.000
Tb 0.663 0.337 0.000
Sm 0.165 0.835 0.500
Sm 0.835 0.165 0.500
S 0.081 0.414 0.243
S 0.253 0.253 0.752
S 0.414 0.081 0.243
S 0.586 0.919 0.757
S 0.747 0.747 0.248
S 0.919 0.586 0.757
CELL_PARAMETERS angstrom
3.431 -5.921 0.000
3.431 5.921 0.000
-2.279 0.000 6.459
```

Calculated values
As for the symmetry: C2/m. For the energy relative to the elements, uncorrected, the calculation gives -2.0764 eV/atom. The total moment is 0.00 μB per formula unit. The calculated volume comes out at 262 Å³ per cell. The value obtained for the density of states at the Fermi level is 4.040 states/eV/f.u.